TbPu2NpP4 | PBE | optimized geometry

Properties
DOS(E_F): 3.0206 states/eV/atom
Symmetry: P2/m
Energy of formation: -1198.3 meV/atom

The structure in extended XYZ format:
```
8
Lattice="-3.6175 1.4724 0.8281 -2.7312 -6.3295 -0.6771 1.9053 0.9875 6.5674" Properties=species:S:1:pos:R:3 pbc="T T T"
P -1.5833 -4.5354 1.1473
P -2.4390 -3.2976 4.8329
P 0.7574 -0.8067 4.7430
P -2.0044 -0.5721 1.8855
Np 0.0000 0.0000 0.0000
Tb -3.1744 -2.4286 0.0755
Pu -0.4129 -2.6710 2.9451
Pu -0.8561 1.2299 3.6977
```


PuNpTeP | PBE | optimized geometry

Properties
DOS(E_F): 4.7431 states/eV/atom
Symmetry: R3m
ΔE_f (raw): -940 meV per atom

The structure in extended XYZ format:
```
4
Lattice="-3.3120 -2.3809 -0.8902 0.3587 -3.1389 -2.7292 0.7270 -6.1647 3.9925" Properties=species:S:1:pos:R:3 pbc="T T T"
P 0.7210 -6.1495 3.9742
Np -1.6069 -8.9221 0.4706
Te -1.1085 -5.8540 0.2007
Pu -0.6180 -2.7658 -0.0935
```


PuThNp2P4 | PBE | optimized geometry

Properties
DOS(E_F): 3.7186 states/eV/atom
Symmetry: P2/m
Energy of formation: -1086.9 meV/atom

The structure in extended XYZ format:
```
8
Lattice="-3.7408 -0.8432 1.2356 1.8426 -6.6145 1.0644 1.0867 3.6959 5.8122" Properties=species:S:1:pos:R:3 pbc="T T T"
P 0.3231 -2.6558 5.7338
P -1.1346 -1.1060 2.3784
P 1.6822 -4.0450 2.3325
P 1.2471 1.1264 4.5441
Th -0.9491 -3.7289 1.1500
Np -1.3270 1.4263 3.5239
Np 1.4646 -1.4593 3.4383
Pu 0.0000 0.0000 0.0000
```


PuTh2NpP4 | PBE | optimized geometry

Properties
DOS(E_F): 2.4116 states/eV/atom
Symmetry: P2/m
Energy of formation: -1290.6 meV/atom

The structure in extended XYZ format:
```
8
Lattice="4.0893 0.0000 0.0000 0.0000 7.0857 0.1240 0.0000 -2.4742 6.5444" Properties=species:S:1:pos:R:3 pbc="T T T"
Pu 0.0000 0.0000 0.0000
P 0.0000 -0.0765 5.0195
P 0.0000 4.6879 1.6489
P 2.0447 1.1649 1.5913
P 2.0447 3.4465 5.0771
Np 2.0447 3.5428 0.0620
Th 0.0000 2.3057 3.3342
Th 2.0447 -1.2371 3.2722
```


Pu2ThNp3P6 | PBE | optimized geometry

Properties
DOS(E_F): 3.5477 states/eV/atom
Symmetry: C2/m
Energy of formation: -1054.1 meV/atom

The structure in extended XYZ format:
```
12
Lattice="6.9282 0.0045 -0.0016 -3.4585 6.0032 -0.0016 -1.1588 -2.0065 6.5618" Properties=species:S:1:pos:R:3 pbc="T T T"
Np 1.1554 2.0006 3.2793
Np -2.3303 4.0137 3.2793
Np 4.6411 -0.0125 3.2793
Pu 3.4607 2.0071 -0.0016
Pu 0.0090 4.0006 -0.0016
P 2.3629 -0.0064 1.6887
P -1.1864 2.0435 1.6887
P 0.0161 0.0279 4.8832
P 2.2947 3.9733 1.6754
P -0.0521 4.0076 4.8699
P 3.4973 1.9577 4.8699
Th 0.0000 0.0000 0.0000
```


Pu2Np3TiP6 | PBE | optimized geometry

Properties
DOS(E_F): 3.0360 states/eV/atom
Symmetry: C2/m
Energy of formation: -976.6 meV/atom

The structure in extended XYZ format:
```
12
Lattice="-4.4582 3.0611 4.0042 -1.9670 -2.4794 -5.9383 0.8003 -5.7995 3.4324" Properties=species:S:1:pos:R:3 pbc="T T T"
Np -2.8125 -2.6089 0.7492
Np -3.6316 -0.7871 4.0184
Np -1.9934 -4.4307 -2.5201
Pu -3.6238 1.2053 0.6740
Pu -2.8014 -0.6236 -2.6080
P -0.9033 -4.2323 2.1322
P -3.8949 -4.8539 -0.4385
P -0.9391 -2.1230 -1.2198
P -1.7300 -0.3639 1.9368
P -4.6858 -3.0948 2.7181
P -4.7216 -0.9854 -0.6339
Ti 0.0000 0.0000 0.0000
```


Pu2NpTiP4 | PBE | optimized geometry

Properties
DOS(E_F): 3.2449 states/eV/atom
Symmetry: P2/m
Energy of formation: -1027.0 meV/atom

The structure in extended XYZ format:
```
8
Lattice="3.8750 0.0000 0.0000 0.0000 6.6822 0.1313 0.0000 -2.3202 6.2303" Properties=species:S:1:pos:R:3 pbc="T T T"
P 0.0000 -0.1747 4.7823
P 1.9375 1.0041 1.4644
P 1.9375 3.3579 4.8972
P 0.0000 4.5367 1.5794
Ti 0.0000 0.0000 0.0000
Pu 0.0000 2.1810 3.1808
Pu 1.9375 -1.1601 3.1151
Np 1.9375 3.3411 0.0657
```


Tm2PuNpP4 | PBE | optimized geometry

Properties
DOS(E_F): 2.1502 states/eV/atom
Symmetry: P2/m
Energy of formation: -1307.8 meV/atom

The structure in extended XYZ format:
```
8
Lattice="3.9651 0.0000 0.0000 0.0000 6.8801 0.1235 0.0000 -2.3999 6.3848" Properties=species:S:1:pos:R:3 pbc="T T T"
Tm 0.0000 2.2401 3.2541
Tm 1.9825 -1.2000 3.1924
Pu 0.0000 0.0000 0.0000
P 0.0000 4.5494 1.6761
P 1.9825 3.3458 4.8945
P 0.0000 -0.0692 4.8321
P 1.9825 1.1344 1.6137
Np 1.9825 3.4401 0.0617
```


TmPuNp2P4 | PBE | optimized geometry

Properties
DOS(E_F): 2.9945 states/eV/atom
Symmetry: P2/m
Energy of formation: -1123.1 meV/atom

The structure in extended XYZ format:
```
8
Lattice="3.9568 0.0000 0.0000 0.0000 6.8399 0.1161 0.0000 -2.3935 6.4675" Properties=species:S:1:pos:R:3 pbc="T T T"
P 0.0000 -0.0838 4.8618
P 0.0000 4.5302 1.7218
P 1.9784 3.3340 4.9203
P 1.9784 1.1124 1.6633
Pu 0.0000 0.0000 0.0000
Np 0.0000 2.2232 3.2918
Np 1.9784 -1.1968 3.2338
Tm 1.9784 3.4200 0.0581
```


Pu2NpU3P6 | PBE | optimized geometry

Properties
DOS(E_F): 3.1380 states/eV/atom
Symmetry: C2/m
Energy of formation: -992.6 meV/atom

The structure in extended XYZ format:
```
12
Lattice="-3.8511 -5.3099 2.0153 0.8526 1.3465 -6.6744 6.2091 -2.4580 1.4782" Properties=species:S:1:pos:R:3 pbc="T T T"
Pu -2.2794 -3.0858 -0.8882
Pu -0.7190 -0.8777 -3.7708
P 1.6104 -0.5123 -2.2425
P 3.8880 -2.8128 -0.0501
P 1.6003 -5.9091 -0.9384
P -0.6773 -3.6086 -3.1308
P 3.1678 -3.6909 -3.8343
P 0.0428 -2.7305 0.6533
U 0.0376 -5.4292 1.3057
U 3.1730 -0.9922 -4.4867
U 1.6053 -3.2107 -1.5905
Np 0.0000 0.0000 0.0000
```


PuNp4U3P8 | PBE | optimized geometry

Properties
DOS(E_F): 3.3391 states/eV/atom
Symmetry: C2/m
Energy of formation: -921.3 meV/atom

The structure in extended XYZ format:
```
16
Lattice="7.8587 0.0000 0.0000 0.0000 7.9159 -0.0766 -3.9293 -4.0053 5.6147" Properties=species:S:1:pos:R:3 pbc="T T T"
Np -1.9647 -2.0026 2.8073
Np 1.9647 -2.0026 2.8073
Np 0.0000 0.0000 0.0000
Np 3.9293 0.0000 0.0000
P 5.8809 1.9793 -0.0055
P 1.9516 1.9313 5.5436
P 0.0000 -0.0109 2.7932
P 3.9293 -0.0068 2.7822
P 1.9777 1.9793 -0.0055
P -1.9516 1.9313 5.5436
P 0.0000 3.9174 2.7559
P 3.9293 3.9215 2.7450
U -1.9647 1.9553 2.7691
U 1.9647 1.9553 2.7691
U 3.9293 3.9579 -0.0383
Pu 0.0000 3.9579 -0.0383
```


Pu3Np4UP8 | PBE | optimized geometry

Properties
DOS(E_F): 3.8983 states/eV/atom
Symmetry: P-1
Energy of formation: -962.2 meV/atom

The structure in extended XYZ format:
```
16
Lattice="7.9276 -0.0005 0.0200 -0.0005 7.8989 -0.0034 -3.9494 -3.9436 5.5918" Properties=species:S:1:pos:R:3 pbc="T T T"
P 0.0108 3.9643 2.7842
P 3.9721 3.9715 2.8225
P 1.9690 5.9255 0.0166
P 2.0086 -1.9707 5.5919
P -1.9802 -1.9685 5.5706
P 3.9669 -0.0095 2.8242
P 0.0056 -0.0167 2.7859
P 5.9579 5.9233 0.0379
Np 3.9638 -0.0003 0.0100
Np 1.9891 -1.9721 2.8059
Np -1.9747 -1.9718 2.7959
Np 0.0000 0.0000 0.0000
Pu 3.9635 3.9492 0.0083
Pu -1.9750 1.9776 2.7942
Pu 1.9888 1.9774 2.8042
U -0.0003 3.9495 -0.0017
```


Pu2Np3UP6 | PBE | optimized geometry

Properties
DOS(E_F): 3.9478 states/eV/atom
Symmetry: C2/m
Energy of formation: -955.4 meV/atom

The structure in extended XYZ format:
```
12
Lattice="6.8604 -0.0016 -0.0004 -3.4299 5.9414 -0.0004 -1.1446 -1.9819 6.4530" Properties=species:S:1:pos:R:3 pbc="T T T"
P 0.0207 3.9596 4.8310
P -1.1335 1.9612 1.6211
P 3.4194 1.9968 4.8310
P -0.0117 -0.0203 4.8330
P 2.2976 3.9783 1.6191
P 2.2652 -0.0017 1.6211
Np 4.5644 0.0029 3.2261
Np -2.2786 3.9550 3.2261
Np 1.1429 1.9790 3.2261
U 0.0000 0.0000 0.0000
Pu 3.4289 1.9802 -0.0004
Pu 0.0016 3.9596 -0.0004
```


PuNp3U2P6 | PBE | optimized geometry

Properties
DOS(E_F): 3.0802 states/eV/atom
Symmetry: C2/m
Energy of formation: -949.4 meV/atom

The structure in extended XYZ format:
```
12
Lattice="-6.3120 2.4550 1.2801 0.8033 -6.5262 -2.0663 2.3457 -0.5183 6.3788" Properties=species:S:1:pos:R:3 pbc="T T T"
Np -3.9567 0.7033 3.9134
Np 0.7937 -5.2929 1.6792
Np -1.5815 -2.2948 2.7963
P -1.9874 0.3529 1.9579
P 0.3958 -2.6553 0.8370
P -1.1756 -4.9425 3.6348
P 0.3722 -1.4137 4.5856
P -3.5352 -3.1759 1.0070
P -3.5588 -1.9343 4.7556
U -3.9405 -0.5385 0.1647
U -1.5683 -3.5328 -0.9509
Pu 0.0000 0.0000 0.0000
```


Pu3NpU2P6 | PBE | optimized geometry

Properties
DOS(E_F): 3.3702 states/eV/atom
Symmetry: C2/m
Energy of formation: -1025.7 meV/atom

The structure in extended XYZ format:
```
12
Lattice="6.8399 -0.0006 0.0005 -3.4189 5.9242 0.0005 -1.1405 -1.9748 6.5131" Properties=species:S:1:pos:R:3 pbc="T T T"
U -0.0002 3.9498 0.0005
U 3.4213 1.9737 0.0005
Pu 4.5652 -0.0036 3.2571
Pu 1.1403 1.9744 3.2571
Pu -2.2846 3.9524 3.2571
P -1.1435 1.9818 1.6028
P 2.2880 0.0000 1.6028
P 3.4240 1.9670 4.9114
P -0.0074 3.9488 4.9114
P 0.0039 0.0067 4.9113
P 2.2767 3.9421 1.6030
Np 0.0000 0.0000 0.0000
```


PuNpU2P4 | PBE | optimized geometry

Properties
DOS(E_F): 3.5540 states/eV/atom
Symmetry: P2/m
Energy of formation: -970.8 meV/atom

The structure in extended XYZ format:
```
8
Lattice="3.9222 0.0000 0.0000 0.0000 6.8955 -0.1690 0.0000 2.3957 6.3851" Properties=species:S:1:pos:R:3 pbc="T T T"
P 1.9611 5.7941 1.4605
P 0.0001 6.9925 4.6584
P 3.9222 2.2987 1.5577
P 1.9611 3.4971 4.7556
Pu 0.0000 4.6456 3.1081
U 0.0000 2.3957 6.3851
U 1.9611 1.1978 3.1925
Np 1.9611 3.4478 -0.0845
```


PuNp2UP4 | PBE | optimized geometry

Properties
DOS(E_F): 3.7766 states/eV/atom
Symmetry: P2/m
Energy of formation: -949.7 meV/atom

The structure in extended XYZ format:
```
8
Lattice="-3.6098 0.8236 -1.4004 -1.4757 -6.7222 -0.1496 -1.7555 2.5887 6.0476" Properties=species:S:1:pos:R:3 pbc="T T T"
P -1.6892 0.2389 4.4947
P -2.6181 -0.6381 0.7787
P -1.5420 -4.3724 1.4033
P -4.2228 -2.6719 3.7189
U -2.5427 -2.9493 -0.7750
Np -2.6826 1.7061 2.3236
Np -1.6156 -2.0668 2.9490
Pu 0.0000 0.0000 0.0000
```


PuZr2NpP4 | PBE | optimized geometry

Properties
DOS(E_F): 2.4126 states/eV/atom
Symmetry: P2/m
Energy of formation: -1241.4 meV/atom

The structure in extended XYZ format:
```
8
Lattice="-1.4036 0.9976 3.4376 -5.8364 -2.8051 -1.5691 3.9309 -4.5359 2.9213" Properties=species:S:1:pos:R:3 pbc="T T T"
Zr 1.2636 -1.7692 3.1795
Zr -0.9527 -3.6705 0.6761
Np -3.6200 -0.9038 0.9343
P -1.1657 -1.3959 2.0792
P -3.3681 -3.2922 -0.4199
P 1.4626 -4.0488 1.7721
P -2.1434 -4.9475 2.7106
Pu 0.0000 0.0000 0.0000
```


PuZr2Np3P6 | PBE | optimized geometry

Properties
DOS(E_F): 2.6201 states/eV/atom
Symmetry: C2/m
Energy of formation: -1114.5 meV/atom

The structure in extended XYZ format:
```
12
Lattice="-3.8484 5.3390 1.2695 0.5812 -4.8713 4.5671 6.1028 2.8477 0.6195" Properties=species:S:1:pos:R:3 pbc="T T T"
P 2.9197 0.7729 5.4012
P -0.9509 1.0326 4.4745
P -0.0839 2.5425 1.0549
P 3.7866 2.2828 1.9817
P 1.4171 4.2362 4.2826
P 1.4186 -0.9208 2.1735
Np 2.9015 -1.7622 4.3326
Np 1.4179 1.6577 3.2281
Np -0.0658 5.0776 2.1235
Zr -0.8947 -1.4693 3.4684
Zr -2.3724 1.9370 2.3682
Pu 0.0000 0.0000 0.0000
```


Pu3Zr2NpP6 | PBE | optimized geometry

Properties
DOS(E_F): 3.0468 states/eV/atom
Symmetry: C2/m
Energy of formation: -1197.7 meV/atom

The structure in extended XYZ format:
```
12
Lattice="3.8957 0.0000 0.0000 0.0000 7.7912 0.2826 -1.9478 -2.2407 8.1737" Properties=species:S:1:pos:R:3 pbc="T T T"
P 1.9478 -0.0190 2.7612
P 0.0000 5.5695 5.6951
P 1.9478 3.7513 2.9216
P 0.0000 1.9359 0.1527
P 0.0000 1.7992 5.5346
P 1.9478 3.6146 8.3035
Zr 0.0000 1.8732 2.8552
Zr 1.9478 3.6774 5.6010
Pu 0.0000 5.7384 2.9502
Pu 1.9478 3.8956 0.1413
Pu 1.9478 -0.1878 5.5060
Np 1.9478 0.0000 0.0000
```